Entry from Alexandria: a relaxed structure of Y2TlP (PBEsol).

Output
Its excess energy over the best structure of this formula in the dataset is 292.5 kJ/mol of formula units. The formation energy from the elements comes out at -0.287 eV/atom. The calculated total energy is -23.21 eV/cell. As for the space-group type: R3m (160).

abc: 8.6280 8.6280 8.6280
angles: 25.91 25.91 25.91
With the nearest neighbours (Å) after each atom.
Atoms (fractional coordinates):
1 Y 0.0000 0.0000 0.0000  3 Tl 3.29, 3 Y 3.56
2 Y 0.2227 0.2227 0.2227  3 P 2.74
3 Tl 0.7633 0.7633 0.7633  3 P 2.73
4 P 0.4929 0.4929 0.4929  3 Tl 2.73, 3 Y 2.74